{
  "formula": "CaBiMo2",
  "functional": "PBE",
  "state": "optimized geometry",
  "lattice_angstrom": [[8.156, 0.000, 0.000], [0.000, 8.156, 0.000], [4.078, 4.078, 2.841]],
  "species": ["Mo", "Mo", "Mo", "Mo", "Ca", "Ca", "Bi", "Bi"],
  "frac_coords": [[0.663, 0.125, 0.250], [0.087, 0.625, 0.250], [0.375, 0.337, 0.750], [0.875, 0.913, 0.750], [0.500, 0.500, 0.000], [0.250, 0.750, 0.500], [0.000, 0.000, 0.000], [0.750, 0.250, 0.500]],
  "spacegroup": "No. 122",
  "n_ef_per_ev_cell": 9.850,
  "delta_e_f_ev_per_fu": 4.8,
  "energy_ev_per_atom": -5.70,
  "m_tot_mub_per_atom": 0.248
}